Below is a relaxed Pm8TeC4 crystal, with properties calculated at the PBE-GGA level.

## Properties
Raw total energy ... -319.876 eV per cell

Cell lengths 11.230, 11.230, 11.230 Å; angles 90.00, 90.00, 90.00 degrees
Space group F-43m (No. 216)
Asymmetric unit:
Pm1 0.103 0.103 0.397 [16 per cell]
Pm2 0.141 0.141 0.859 [16 per cell]
Te1 0.250 0.250 0.250 [4 per cell]
C1 0.128 0.128 0.628 [16 per cell]